(1)
The following is a GGA-PBE calculation of an optimized crystal structure of AcZnSe2O6, from the Alexandria database.

abc: 5.5656 5.5656 6.5185
angles: 64.73 64.73 60.00
Each line ends with the local moment (μB).
Fractional positions:
Ac: 0.0000 0.0000 0.0000  0.02
Zn: 0.5000 0.5000 0.5000  0.04
Se: 0.7902 0.7902 0.6293  0.10
Se: 0.2098 0.2098 0.3707  0.10
O: 0.0852 0.4724 0.7364  0.04
O: 0.7060 0.0852 0.7364  0.04
O: 0.5276 0.2940 0.2636  0.04
O: 0.9148 0.5276 0.2636  0.04
O: 0.2940 0.9148 0.2636  0.04
O: 0.4724 0.7060 0.7364  0.04

* space group: R-3, No. 148
* magnetization: 0.689 μB per formula unit
* raw total energy: -55.49 eV for the cell shown
* theoretical density: 5.96 Mg/m³

***

(2)
The following is a GGA-PBE calculation of an optimized crystal structure of NaTa2Rh, from the Alexandria database.

abc: 7.6223 7.6223 6.0540
angles: 50.98 50.98 90.00
Fractional positions:
Na: 0.5000 0.5000 0.0000
Na: 0.2500 0.7500 0.5000
Rh: 0.0000 0.0000 0.0000
Rh: 0.7500 0.2500 0.5000
Ta: 0.6805 0.1250 0.2500
Ta: 0.0695 0.6250 0.2500
Ta: 0.3750 0.3195 0.7500
Ta: 0.8750 0.9305 0.7500

* energy of formation: 2.9 eV per formula unit
* energy relative to the lowest polymorph listed for this composition: 113.3 meV per atom
* space group: I-42d, No. 122
* magnetization: 0.000 μB per formula unit
* raw total energy: -59.01 eV for the cell shown
* theoretical density: 10.11 Mg/m³

***

- Among the records above, which one has the highest magnetization?
  AcZnSe2O6